--- P ---
A plane-wave DFT calculation with PBE-GGA was carried out for a relaxed structure of FeRuI2N.

Values from the calculation:
Volume (Å³ per cell): 92.2
Total magnetic moment (μB/atom): 0.000
D(E_F) (states/eV/atom): 0.653

Lattice parameters (Å, degrees): 5.2068 5.2068 3.4023 90.00 90.00 90.00
Fractional coordinates of all 5 atoms:
1 Fe 0.0000 0.0000 0.0000
2 Ru 0.5000 0.5000 0.5000
3 I 0.0000 0.5000 0.0000
4 I 0.5000 0.0000 0.0000
5 N 0.0000 0.0000 0.5000

--- Q ---
A plane-wave DFT calculation with PBE-GGA was carried out for a relaxed structure of FeRuI2N.

Values from the calculation:
Volume (Å³ per cell): 113.9
Total magnetic moment (μB/atom): 0.727
D(E_F) (states/eV/atom): 0.950

Lattice parameters (Å, degrees): 5.5416 5.5416 3.7101 90.00 90.00 90.00
Fractional coordinates of all 5 atoms:
1 Fe 0.0000 0.0000 0.0000
2 Ru 0.5000 0.5000 0.5000
3 I 0.0000 0.5000 0.5000
4 I 0.5000 0.0000 0.5000
5 N 0.5000 0.5000 0.0000

Relative stability in meV/atom, measured from the most stable structure: P 108; Q 0